P.
The following is a DFT calculation (PBE) of crystalline La4Y3 at its relaxed geometry.

For the total magnetization, the calculation gives 0.00 μB/f.u. The value obtained for the density of states at the Fermi level is 1.9244 states/eV per atom.

abc: 18.1845 18.1845 18.1845
angles: 168.35 168.35 16.50
Element x y z (fractional)
1 La 0.0716 0.0716 0.0000
2 La 0.3566 0.3566 0.0000
3 La 0.6434 0.6434 0.0000
4 La 0.9284 0.9284 0.0000
5 Y 0.2164 0.2164 0.0000
6 Y 0.5000 0.5000 0.0000
7 Y 0.7836 0.7836 0.0000



Q.
The following is a DFT calculation (PBE) of crystalline La4Y3 at its relaxed geometry.

For the total magnetization, the calculation gives 0.00 μB/f.u. The value obtained for the density of states at the Fermi level is 2.5886 states/eV per atom.

abc: 6.5442 6.5442 6.8174
angles: 90.00 90.00 120.00
Element x y z (fractional)
1 La 0.0000 0.0000 0.2200
2 La 0.0000 0.0000 0.7800
3 La 0.3333 0.6667 0.0000
4 La 0.6667 0.3333 0.0000
5 Y 0.0000 0.5000 0.5000
6 Y 0.5000 0.0000 0.5000
7 Y 0.5000 0.5000 0.5000



Order from most stable to least stable according to the calculation: P, Q



P.
The following is a DFT calculation (PBE) of crystalline La4Y3 at its relaxed geometry.

For the total magnetization, the calculation gives 0.00 μB/f.u. The value obtained for the density of states at the Fermi level is 1.5867 states/eV per atom.

abc: 12.9980 12.9980 3.7208
angles: 90.00 90.00 120.00
Element x y z (fractional)
1 La 0.0907 0.7687 0.2500
2 La 0.2313 0.3219 0.2500
3 La 0.3219 0.0907 0.7500
4 La 0.3333 0.6667 0.7500
5 La 0.6667 0.3333 0.2500
6 La 0.6781 0.9093 0.2500
7 La 0.7687 0.6781 0.7500
8 La 0.9093 0.2313 0.7500
9 Y 0.0983 0.4896 0.2500
10 Y 0.3913 0.9017 0.2500
11 Y 0.4896 0.3913 0.7500
12 Y 0.5104 0.6087 0.2500
13 Y 0.6087 0.0983 0.7500
14 Y 0.9017 0.5104 0.7500



Q.
The following is a DFT calculation (PBE) of crystalline La4Y3 at its relaxed geometry.

For the total magnetization, the calculation gives 0.00 μB/f.u. The value obtained for the density of states at the Fermi level is 1.7913 states/eV per atom.

abc: 13.2605 13.2605 13.2605
angles: 164.02 157.60 27.64
Element x y z (fractional)
1 La 0.0708 0.0708 0.0000
2 La 0.2134 0.2134 0.0000
3 La 0.7866 0.7866 0.0000
4 La 0.9292 0.9292 0.0000
5 Y 0.3574 0.3574 0.0000
6 Y 0.5000 0.5000 0.0000
7 Y 0.6426 0.6426 0.0000



Order from most stable to least stable according to the calculation: Q, P



P.
The following is a DFT calculation (PBE) of crystalline La7Y5 at its relaxed geometry.

For the total magnetization, the calculation gives 0.00 μB/f.u. The value obtained for the density of states at the Fermi level is 1.5895 states/eV per atom.

abc: 5.7737 5.7737 15.0150
angles: 101.79 101.79 61.78
Element x y z (fractional)
1 La 0.0000 0.0000 0.0000
2 La 0.1848 0.1848 0.5824
3 La 0.2637 0.2637 0.8286
4 La 0.4612 0.4612 0.2872
5 La 0.5388 0.5388 0.7128
6 La 0.7363 0.7363 0.1714
7 La 0.8152 0.8152 0.4176
8 Y 0.1223 0.1223 0.3005
9 Y 0.3583 0.3583 0.0599
10 Y 0.5000 0.5000 0.5000
11 Y 0.6417 0.6417 0.9401
12 Y 0.8777 0.8777 0.6995



Q.
The following is a DFT calculation (PBE) of crystalline La7Y5 at its relaxed geometry.

For the total magnetization, the calculation gives 0.00 μB/f.u. The value obtained for the density of states at the Fermi level is 1.5680 states/eV per atom.

abc: 9.7632 9.7632 13.4794
angles: 117.66 117.66 21.84
Element x y z (fractional)
1 La 0.0000 0.0000 0.0000
2 La 0.1401 0.1401 0.7519
3 La 0.1672 0.1672 0.5027
4 La 0.4733 0.4733 0.7500
5 La 0.5267 0.5267 0.2500
6 La 0.8328 0.8328 0.4973
7 La 0.8599 0.8599 0.2481
8 Y 0.1926 0.1926 0.2482
9 Y 0.3308 0.3308 0.9947
10 Y 0.5000 0.5000 0.5000
11 Y 0.6692 0.6692 0.0053
12 Y 0.8074 0.8074 0.7518



Order from most stable to least stable according to the calculation: Q, P



P.
The following is a DFT calculation (PBE) of crystalline La2Y3 at its relaxed geometry.

For the total magnetization, the calculation gives 0.00 μB/f.u. The value obtained for the density of states at the Fermi level is 1.5196 states/eV per atom.

abc: 11.6704 3.6080 16.3631
angles: 90.00 90.00 90.00
Element x y z (fractional)
1 La 0.1308 0.2500 0.0359
2 La 0.1364 0.2500 0.6438
3 La 0.3636 0.7500 0.1438
4 La 0.3692 0.7500 0.5359
5 La 0.6308 0.2500 0.4641
6 La 0.6364 0.2500 0.8562
7 La 0.8636 0.7500 0.3562
8 La 0.8692 0.7500 0.9641
9 Y 0.1046 0.2500 0.4368
10 Y 0.1187 0.7500 0.2472
11 Y 0.1314 0.7500 0.8350
12 Y 0.3686 0.2500 0.3350
13 Y 0.3813 0.2500 0.7472
14 Y 0.3954 0.7500 0.9368
15 Y 0.6046 0.2500 0.0632
16 Y 0.6187 0.7500 0.2528
17 Y 0.6314 0.7500 0.6650
18 Y 0.8686 0.2500 0.1650
19 Y 0.8813 0.2500 0.7528
20 Y 0.8954 0.7500 0.5632



Q.
The following is a DFT calculation (PBE) of crystalline La2Y3 at its relaxed geometry.

For the total magnetization, the calculation gives 0.00 μB/f.u. The value obtained for the density of states at the Fermi level is 1.2654 states/eV per atom.

abc: 14.8866 14.8866 14.8866
angles: 14.07 14.07 14.07
Element x y z (fractional)
1 La 0.0998 0.0998 0.0998
2 La 0.9002 0.9002 0.9002
3 Y 0.3010 0.3010 0.3010
4 Y 0.5000 0.5000 0.5000
5 Y 0.6990 0.6990 0.6990



R.
The following is a DFT calculation (PBE) of crystalline La2Y3 at its relaxed geometry.

For the total magnetization, the calculation gives 0.00 μB/f.u. The value obtained for the density of states at the Fermi level is 1.8088 states/eV per atom.

abc: 7.5587 7.5587 7.5587
angles: 66.83 66.83 66.83
Element x y z (fractional)
1 La 0.0832 0.0832 0.0832
2 La 0.4168 0.4168 0.4168
3 La 0.5832 0.5832 0.5832
4 La 0.9168 0.9168 0.9168
5 Y 0.0128 0.2500 0.4872
6 Y 0.2500 0.4872 0.0128
7 Y 0.4872 0.0128 0.2500
8 Y 0.5128 0.9872 0.7500
9 Y 0.7500 0.5128 0.9872
10 Y 0.9872 0.7500 0.5128



Order from most stable to least stable according to the calculation: Q, P, R



P.
The following is a DFT calculation (PBE) of crystalline LaY2Zn at its relaxed geometry.

For the total magnetization, the calculation gives 0.01 μB/f.u. The value obtained for the density of states at the Fermi level is 1.4554 states/eV per atom.

abc: 6.5980 6.5980 3.5283
angles: 103.74 103.74 119.66
Element x y z (fractional)
1 La 0.0000 0.0000 0.0000
2 Y 0.0000 0.5000 0.5000
3 Y 0.5000 0.0000 0.5000
4 Zn 0.5000 0.5000 0.0000



Q.
The following is a DFT calculation (PBE) of crystalline LaY2Zn at its relaxed geometry.

For the total magnetization, the calculation gives 0.00 μB/f.u. The value obtained for the density of states at the Fermi level is 1.0879 states/eV per atom.

abc: 5.9704 5.9704 5.9704
angles: 132.83 132.83 68.92
Element x y z (fractional)
1 La 0.0000 0.0000 0.0000
2 Y 0.2500 0.7500 0.5000
3 Y 0.5000 0.5000 0.0000
4 Zn 0.7500 0.2500 0.5000



R.
The following is a DFT calculation (PBE) of crystalline LaY2Zn at its relaxed geometry.

For the total magnetization, the calculation gives 2.33 μB/f.u. The value obtained for the density of states at the Fermi level is 1.6067 states/eV per atom.

abc: 5.4052 5.4052 5.4052
angles: 60.00 60.00 60.00
Element x y z (fractional)
1 La 0.0000 0.0000 0.0000
2 Y 0.2500 0.2500 0.2500
3 Y 0.7500 0.7500 0.7500
4 Zn 0.5000 0.5000 0.5000



Order from most stable to least stable according to the calculation: Q, P, R



P.
The following is a DFT calculation (PBE) of crystalline LaY2Zn at its relaxed geometry.

For the total magnetization, the calculation gives 0.00 μB/f.u. The value obtained for the density of states at the Fermi level is 1.3623 states/eV per atom.

abc: 5.4847 5.4847 3.7110
angles: 90.00 90.00 90.00
Element x y z (fractional)
1 La 0.0000 0.0000 0.0000
2 Y 0.0000 0.5000 0.5000
3 Y 0.5000 0.0000 0.5000
4 Zn 0.5000 0.5000 0.0000



Q.
The following is a DFT calculation (PBE) of crystalline LaY2Zn at its relaxed geometry.

For the total magnetization, the calculation gives 0.00 μB/f.u. The value obtained for the density of states at the Fermi level is 1.3226 states/eV per atom.

abc: 6.0463 6.0463 6.0463
angles: 133.56 133.56 67.78
Element x y z (fractional)
1 La 0.0000 0.0000 0.0000
2 Y 0.2500 0.7500 0.5000
3 Y 0.7500 0.2500 0.5000
4 Zn 0.5000 0.5000 0.0000



Order from most stable to least stable according to the calculation: Q, P



P.
The following is a DFT calculation (PBE) of crystalline LaY2Zn at its relaxed geometry.

For the total magnetization, the calculation gives 0.00 μB/f.u. The value obtained for the density of states at the Fermi level is 1.0757 states/eV per atom.

abc: 10.6080 10.6080 10.6080
angles: 19.82 19.82 19.82
Element x y z (fractional)
1 La 0.0000 0.0000 0.0000
2 Y 0.2364 0.2364 0.2364
3 Y 0.7636 0.7636 0.7636
4 Zn 0.5000 0.5000 0.5000



Q.
The following is a DFT calculation (PBE) of crystalline LaY2Zn at its relaxed geometry.

For the total magnetization, the calculation gives 0.00 μB/f.u. The value obtained for the density of states at the Fermi level is 1.1773 states/eV per atom.

abc: 10.6315 10.6315 10.6315
angles: 19.85 19.85 19.85
Element x y z (fractional)
1 La 0.0000 0.0000 0.0000
2 Y 0.5676 0.5676 0.5676
3 Y 0.7638 0.7638 0.7638
4 Zn 0.1654 0.1654 0.1654



R.
The following is a DFT calculation (PBE) of crystalline LaY2Zn at its relaxed geometry.

For the total magnetization, the calculation gives 0.00 μB/f.u. The value obtained for the density of states at the Fermi level is 1.2553 states/eV per atom.

abc: 5.6605 5.6605 3.6498
angles: 90.00 90.00 102.70
Element x y z (fractional)
1 La 0.0000 0.0000 0.0000
2 Y 0.0000 0.5000 0.5000
3 Y 0.5000 0.0000 0.5000
4 Zn 0.5000 0.5000 0.0000



Order from most stable to least stable according to the calculation: P, Q, R



P.
The following is a DFT calculation (PBE) of crystalline LaY2Zn at its relaxed geometry.

For the total magnetization, the calculation gives 0.00 μB/f.u. The value obtained for the density of states at the Fermi level is 1.3268 states/eV per atom.

abc: 3.6082 3.6082 8.9120
angles: 90.00 90.00 90.00
Element x y z (fractional)
1 La 0.0000 0.0000 0.0000
2 Y 0.5000 0.5000 0.3034
3 Y 0.5000 0.5000 0.6966
4 Zn 0.0000 0.0000 0.5000



Q.
The following is a DFT calculation (PBE) of crystalline LaY2Zn at its relaxed geometry.

For the total magnetization, the calculation gives 0.00 μB/f.u. The value obtained for the density of states at the Fermi level is 1.4512 states/eV per atom.

abc: 4.8307 4.8307 4.8801
angles: 90.00 90.00 90.00
Element x y z (fractional)
1 La 0.0000 0.0000 0.0000
2 Y 0.0000 0.5000 0.5000
3 Y 0.5000 0.0000 0.5000
4 Zn 0.5000 0.5000 0.0000



R.
The following is a DFT calculation (PBE) of crystalline LaY2Zn at its relaxed geometry.

For the total magnetization, the calculation gives 0.00 μB/f.u. The value obtained for the density of states at the Fermi level is 0.9369 states/eV per atom.

abc: 6.9353 6.9353 6.9353
angles: 102.91 102.91 123.58
Element x y z (fractional)
1 La 0.0000 0.0000 0.0000
2 La 0.7500 0.2500 0.5000
3 Y 0.1795 0.6250 0.0545
4 Y 0.3750 0.4295 0.5545
5 Y 0.5705 0.1250 0.9455
6 Y 0.8750 0.8205 0.4455
7 Zn 0.2500 0.7500 0.5000
8 Zn 0.5000 0.5000 0.0000



Order from most stable to least stable according to the calculation: P, Q, R



P.
The following is a DFT calculation (PBE) of crystalline LaY2Zn at its relaxed geometry.

For the total magnetization, the calculation gives 0.00 μB/f.u. The value obtained for the density of states at the Fermi level is 1.2406 states/eV per atom.

abc: 3.6798 4.9844 6.6170
angles: 90.00 103.70 90.00
Element x y z (fractional)
1 La 0.0000 0.0000 0.0000
2 Y 0.3881 0.5000 0.7235
3 Y 0.6119 0.5000 0.2765
4 Zn 0.0000 0.0000 0.5000



Q.
The following is a DFT calculation (PBE) of crystalline LaY2Zn at its relaxed geometry.

For the total magnetization, the calculation gives 0.00 μB/f.u. The value obtained for the density of states at the Fermi level is 1.0288 states/eV per atom.

abc: 6.6828 6.6828 6.6828
angles: 147.51 133.06 58.25
Element x y z (fractional)
1 La 0.0000 0.0000 0.0000
2 Y 0.4212 0.4212 0.0000
3 Y 0.7100 0.2100 0.5000
4 Zn 0.2231 0.7231 0.5000



R.
The following is a DFT calculation (PBE) of crystalline LaY2Zn at its relaxed geometry.

For the total magnetization, the calculation gives 0.01 μB/f.u. The value obtained for the density of states at the Fermi level is 1.4344 states/eV per atom.

abc: 3.7918 5.4534 5.6071
angles: 90.00 90.00 90.00
Element x y z (fractional)
1 La 0.0000 0.0000 0.0000
2 Y 0.0000 0.5000 0.5000
3 Y 0.5000 0.5000 0.0000
4 Zn 0.5000 0.0000 0.5000



S.
The following is a DFT calculation (PBE) of crystalline LaY2Zn at its relaxed geometry.

For the total magnetization, the calculation gives 0.00 μB/f.u. The value obtained for the density of states at the Fermi level is 1.4700 states/eV per atom.

abc: 6.6145 6.6145 6.6145
angles: 147.31 130.51 60.58
Element x y z (fractional)
1 La 0.0000 0.0000 0.0000
2 Y 0.2888 0.7888 0.5000
3 Y 0.7112 0.2112 0.5000
4 Zn 0.5000 0.5000 0.0000



Order from most stable to least stable according to the calculation: S, Q, P, R



P.
The following is a DFT calculation (PBE) of crystalline LaYZn2 at its relaxed geometry.

For the total magnetization, the calculation gives 0.00 μB/f.u. The value obtained for the density of states at the Fermi level is 1.5808 states/eV per atom.

abc: 6.6680 6.6680 6.6680
angles: 107.56 107.56 113.36
Element x y z (fractional)
1 La 0.0000 0.0000 0.0000
2 La 0.7500 0.2500 0.5000
3 Y 0.2500 0.7500 0.5000
4 Y 0.5000 0.5000 0.0000
5 Zn 0.1395 0.1250 0.5145
6 Zn 0.3750 0.8605 0.9855
7 Zn 0.6105 0.6250 0.4855
8 Zn 0.8750 0.3895 0.0145



Q.
The following is a DFT calculation (PBE) of crystalline LaYZn2 at its relaxed geometry.

For the total magnetization, the calculation gives 0.00 μB/f.u. The value obtained for the density of states at the Fermi level is 0.6688 states/eV per atom.

abc: 5.9852 5.9852 5.9852
angles: 136.91 136.91 62.57
Element x y z (fractional)
1 La 0.0000 0.0000 0.0000
2 Y 0.2500 0.7500 0.5000
3 Zn 0.5000 0.5000 0.0000
4 Zn 0.7500 0.2500 0.5000



Order from most stable to least stable according to the calculation: Q, P